Record 1
NaCd3Ge | GGA-PBE | optimized geometry

```
NaCd3Ge
1.0
-0.3932 -1.0301 5.2769
0.2351 -5.2892 -1.0150
5.3713 0.1561 0.4307
Na Cd Ge
1 3 1
Cartesian
2.6066 -3.0816 2.3463
2.6857 0.0780 0.2154
-0.1966 -0.5150 2.6384
0.1175 -2.6446 -0.5075
0.0000 0.0000 0.0000
```

Crystal system: cubic
SG: No. 221
Energy of formation (meV/atom): 214
Polymorph energy (0 for the lowest one) (meV per atom): 244
Size of the total moment (μB per atom): 0.00
E (eV for the cell shown): -7.6


Record 2
Na3Cd7Ge4 | GGA-PBE | optimized geometry

```
Na3Cd7Ge4
1.0
-4.4981 0.6998 0.2082
-3.5559 -6.7473 -4.2752
-2.9308 -5.8487 6.2096
Cd Ge Na
7 4 3
Cartesian
0.0000 0.0000 0.0000
-7.8948 -7.4927 4.2316
-5.9134 -8.2937 -0.1409
-5.6655 -6.1132 -2.1134
-3.0901 -4.4036 -2.0891
-5.0714 -3.6026 2.2834
-5.3194 -5.7831 4.2559
-5.7378 -7.9601 2.5316
-2.8020 -4.3169 3.8444
-5.2470 -3.9362 -0.3891
-8.1829 -7.5794 -1.7019
-2.6420 -2.2896 0.4871
-3.2434 -6.2980 0.9672
-8.3429 -9.6066 1.6554
```

Crystal system: monoclinic
SG: No. 12
Energy of formation (meV/atom): -41
Size of the total moment (μB per atom): 0.00
E (eV for the cell shown): -29.4


Record 3
Na2Cd2Ge | GGA-PBE | optimized geometry

```
Na2Cd2Ge
1.0
4.0896 0.0000 0.0000
0.0000 4.0896 0.0000
2.0448 2.0448 7.6288
Na Cd Ge
2 2 1
Cartesian
4.0896 2.0448 3.8144
2.0448 4.0896 3.8144
2.0448 2.0448 1.4226
4.0896 4.0896 6.2062
0.0000 0.0000 0.0000
```

Crystal system: tetragonal
SG: No. 139
Energy of formation (meV/atom): 234
Polymorph energy (0 for the lowest one) (meV per atom): 316
Size of the total moment (μB per atom): 0.00
E (eV for the cell shown): -7.9